# 1
Computed, not measured: POsBr2 at its PBEsol-relaxed geometry at the meta-GGA SCAN level of DFT.

## Properties
N(E_F)   2.097 states/eV/f.u.
Magnetic moment   0.0 μB/f.u.
Raw formation energy   1.442 eV/atom

a = 4.771 Å, b = 4.771 Å, c = 5.927 Å
α = 90.00°, β = 90.00°, γ = 90.00°
Space group I-4m2 (No. 119)
Asymmetric unit:
1 P 0.000 0.000 0.000 x2
2 Os 0.000 0.500 0.250 x2
3 Br 0.000 0.000 0.500 x2
4 Br 0.000 0.500 0.750 x2

=====

# 2
Computed, not measured: La2HgRh at its PBEsol-relaxed geometry at the meta-GGA SCAN level of DFT.

## Properties
DFT formation energy   -0.753 eV per atom
N(E_F)   3.233 states/eV/f.u.
Magnetic moment   0.0 μB/f.u.

a = 4.0554 Å, b = 4.0554 Å, c = 23.6769 Å
α = 90.00°, β = 90.00°, γ = 120.00°
Space group R-3m (No. 166, hexagonal axes)
Asymmetric unit:
1 La 0.0000 0.0000 0.2346 x6
2 Hg 0.0000 0.0000 0.0000 x3
3 Rh 0.0000 0.0000 0.5000 x3

=====

# 3
Computed, not measured: BeCN2 at its PBEsol-relaxed geometry at the meta-GGA SCAN level of DFT.

## Properties
N(E_F)   0.000 states/eV/f.u.
Magnetic moment   0.0 μB/f.u.
Raw formation energy   -0.582 eV/atom

a = 2.958 Å, b = 2.958 Å, c = 8.593 Å
α = 90.00°, β = 90.00°, γ = 90.00°
Space group I-4m2 (No. 119)
Asymmetric unit:
1 Be 0.000 0.000 0.000 x2
2 C 0.000 0.500 0.750 x2
3 N 0.000 0.500 0.607 x4

=====

# 4
Computed, not measured: TlRe2W at its PBEsol-relaxed geometry at the meta-GGA SCAN level of DFT.

## Properties
DFT formation energy   0.923 eV per atom
N(E_F)   2.822 states/eV/f.u.
Magnetic moment   0.0 μB/f.u.

a = 4.832 Å, b = 2.925 Å, c = 4.915 Å
α = 90.00°, β = 111.14°, γ = 90.00°
Space group P2/m (No. 10)
Asymmetric unit:
1 Tl 0.000 0.000 0.000 x1
2 Re 0.500 0.000 0.500 x1
3 Re 0.500 0.500 0.000 x1
4 W 0.000 0.500 0.500 x1

=====

# 5
Computed, not measured: LiBe3 at its PBEsol-relaxed geometry at the meta-GGA SCAN level of DFT.

## Properties
DFT formation energy   0.170 eV per atom
N(E_F)   0.675 states/eV/f.u.
Magnetic moment   0.0 μB/f.u.

a = 2.591 Å, b = 3.615 Å, c = 7.648 Å
α = 90.00°, β = 90.00°, γ = 90.00°
Space group Cmmm (No. 65)
Asymmetric unit:
1 Li 0.000 0.000 0.000 x2
2 Be 0.000 0.000 0.500 x2
3 Be 0.000 0.500 0.270 x4

=====

# 6
Computed, not measured: BaCa2Au2 at its PBEsol-relaxed geometry at the meta-GGA SCAN level of DFT.

## Properties
DFT formation energy   -0.756 eV per atom
N(E_F)   2.523 states/eV/f.u.
Magnetic moment   0.0 μB/f.u.

a = 4.781 Å, b = 4.781 Å, c = 13.070 Å
α = 90.00°, β = 90.00°, γ = 90.00°
Space group I4/mmm (No. 139)
Asymmetric unit:
1 Ba 0.000 0.000 0.000 x2
2 Ca 0.000 0.500 0.250 x4
3 Au 0.000 0.000 0.392 x4

=====

# 7
Computed, not measured: KLa3Tc at its PBEsol-relaxed geometry at the meta-GGA SCAN level of DFT.

## Properties
DFT formation energy   0.143 eV per atom
N(E_F)   4.403 states/eV/f.u.
Magnetic moment   0.0 μB/f.u.

a = 5.605 Å, b = 5.605 Å, c = 5.605 Å
α = 90.00°, β = 90.00°, γ = 90.00°
Space group Pm-3m (No. 221)
Asymmetric unit:
1 K 0.000 0.000 0.000 x1
2 La 0.000 0.500 0.500 x3
3 Tc 0.500 0.500 0.500 x1

=====

# 8
Computed, not measured: Te2IrC at its PBEsol-relaxed geometry at the meta-GGA SCAN level of DFT.

## Properties
N(E_F)   2.554 states/eV/f.u.
Magnetic moment   0.0 μB/f.u.
Raw formation energy   1.481 eV/atom

a = 3.1723 Å, b = 3.1723 Å, c = 24.7359 Å
α = 90.00°, β = 90.00°, γ = 120.00°
Space group R-3m (No. 166, hexagonal axes)
Asymmetric unit:
1 Te 0.0000 0.0000 0.1029 x6
2 Ir 0.0000 0.0000 0.0000 x3
3 C 0.0000 0.0000 0.5000 x3

=====

# 9
Computed, not measured: KAgCl2 at its PBEsol-relaxed geometry at the meta-GGA SCAN level of DFT.

## Properties
N(E_F)   0.000 states/eV/f.u.
Magnetic moment   0.0 μB/f.u.
Raw formation energy   -1.302 eV/atom

a = 3.852 Å, b = 3.737 Å, c = 7.068 Å
α = 90.00°, β = 95.72°, γ = 90.00°
Space group P2/m (No. 10)
Asymmetric unit:
1 K 0.000 0.000 0.000 x1
2 Ag 0.500 0.000 0.500 x1
3 Cl 0.451 0.500 0.750 x2

=====

# 10
Computed, not measured: Li2Cu2Si4O11 at its PBEsol-relaxed geometry at the meta-GGA SCAN level of DFT.

## Properties
N(E_F)   0.000 states/eV/f.u.
Magnetic moment   2.0 μB/f.u.
Raw formation energy   -2.456 eV/atom

a = 7.087 Å, b = 7.723 Å, c = 8.503 Å
α = 95.94°, β = 103.78°, γ = 111.81°
Space group P-1 (No. 2)
Asymmetric unit:
1 Li 0.140 0.285 0.211 x2
2 Li 0.339 0.759 0.833 x2
3 Cu 0.131 0.893 0.595 x2
4 Cu 0.384 0.107 0.388 x2
5 Si 0.012 0.718 0.213 x2
6 Si 0.263 0.107 0.966 x2
7 Si 0.289 0.479 0.601 x2
8 Si 0.444 0.713 0.234 x2
9 O 0.107 0.901 0.366 x2
10 O 0.108 0.226 0.952 x2
11 O 0.152 0.305 0.442 x2
12 O 0.164 0.465 0.745 x2
13 O 0.165 0.906 0.832 x2
14 O 0.186 0.644 0.173 x2
15 O 0.335 0.097 0.156 x2
16 O 0.340 0.693 0.574 x2
17 O 0.420 0.093 0.623 x2
18 O 0.483 0.532 0.298 x2
19 O 0.486 0.252 0.934 x2

=====

# 11
Computed, not measured: NbHgC3 at its PBEsol-relaxed geometry at the meta-GGA SCAN level of DFT.

## Properties
DFT formation energy   3.325 eV per atom
N(E_F)   3.316 states/eV/f.u.
Magnetic moment   0.0 μB/f.u.

a = 4.084 Å, b = 4.084 Å, c = 4.084 Å
α = 90.00°, β = 90.00°, γ = 90.00°
Space group Pm-3m (No. 221)
Asymmetric unit:
1 Nb 0.000 0.000 0.000 x1
2 Hg 0.500 0.500 0.500 x1
3 C 0.000 0.500 0.500 x3

=====

# 12
Computed, not measured: Mg2GeH2 at its PBEsol-relaxed geometry at the meta-GGA SCAN level of DFT.

## Properties
N(E_F)   1.085 states/eV/f.u.
Magnetic moment   0.0 μB/f.u.

a = 3.192 Å, b = 3.192 Å, c = 12.222 Å
α = 90.00°, β = 90.00°, γ = 90.00°
Space group I4/mmm (No. 139)
Asymmetric unit:
1 Mg 0.000 0.000 0.156 x4
2 Ge 0.000 0.000 0.500 x2
3 H 0.000 0.500 0.250 x4

=====

# 13
Computed, not measured: SrBrCl at its PBEsol-relaxed geometry at the meta-GGA SCAN level of DFT.

## Properties
N(E_F)   0.000 states/eV/f.u.
Magnetic moment   0.0 μB/f.u.
Raw formation energy   -2.536 eV/atom

a = 7.574 Å, b = 4.728 Å, c = 9.765 Å
α = 90.00°, β = 90.00°, γ = 90.00°
Space group Pnma (No. 62)
Asymmetric unit:
1 Sr 0.228 0.250 0.085 x4
2 Br 0.137 0.250 0.399 x4
3 Cl 0.011 0.750 0.145 x4

=====

# 14
Computed, not measured: ScTlMo2 at its PBEsol-relaxed geometry at the meta-GGA SCAN level of DFT.

## Properties
DFT formation energy   0.329 eV per atom
N(E_F)   3.252 states/eV/f.u.
Magnetic moment   0.0 μB/f.u.

a = 3.948 Å, b = 3.948 Å, c = 9.176 Å
α = 90.00°, β = 90.00°, γ = 90.00°
Space group I4/mmm (No. 139)
Asymmetric unit:
1 Sc 0.000 0.000 0.000 x2
2 Tl 0.000 0.000 0.500 x2
3 Mo 0.000 0.500 0.250 x4

=====

# 15
Computed, not measured: AlCrSb2 at its PBEsol-relaxed geometry at the meta-GGA SCAN level of DFT.

## Properties
N(E_F)   1.873 states/eV/f.u.
Magnetic moment   4.0 μB/f.u.
Raw formation energy   0.218 eV/atom

a = 4.686 Å, b = 4.686 Å, c = 3.732 Å
α = 90.00°, β = 90.00°, γ = 90.00°
Space group P4/mmm (No. 123)
Asymmetric unit:
1 Al 0.000 0.000 0.000 x1
2 Cr 0.500 0.500 0.000 x1
3 Sb 0.000 0.500 0.500 x2

=====

# 16
Computed, not measured: VZnSi4O10 at its PBEsol-relaxed geometry at the meta-GGA SCAN level of DFT.

## Properties
Magnetic moment   3.0 μB/f.u.
Raw formation energy   -2.658 eV/atom

a = 7.217 Å, b = 7.217 Å, c = 14.879 Å
α = 90.00°, β = 90.00°, γ = 90.00°
Space group P4/ncc (No. 130, origin choice 2)
Asymmetric unit:
1 V 0.250 0.250 0.069 x4
2 Zn 0.250 0.750 0.000 x4
3 Si 0.014 0.592 0.145 x16
4 O 0.001 0.686 0.626 x16
5 O 0.019 0.668 0.426 x16
6 O 0.065 0.565 0.250 x8

=====

# 17
Computed, not measured: CdMoW2 at its PBEsol-relaxed geometry at the meta-GGA SCAN level of DFT.

## Properties
DFT formation energy   0.565 eV per atom
N(E_F)   3.823 states/eV/f.u.
Magnetic moment   0.0 μB/f.u.

a = 2.7913 Å, b = 2.7913 Å, c = 29.3837 Å
α = 90.00°, β = 90.00°, γ = 120.00°
Space group R3m (No. 160, hexagonal axes)
Asymmetric unit:
1 Cd 0.0000 0.0000 0.0000 x3
2 Mo 0.0000 0.0000 0.7528 x3
3 W 0.0000 0.0000 0.2466 x3
4 W 0.0000 0.0000 0.4993 x3

=====

# 18
Computed, not measured: Sc3SbF at its PBEsol-relaxed geometry at the meta-GGA SCAN level of DFT.

## Properties
N(E_F)   5.847 states/eV/f.u.
Magnetic moment   4.7 μB/f.u.
Raw formation energy   0.014 eV/atom

a = 5.383 Å, b = 5.383 Å, c = 5.383 Å
α = 90.00°, β = 90.00°, γ = 90.00°
Space group Pm-3m (No. 221)
Asymmetric unit:
1 Sc 0.000 0.000 0.500 x3
2 Sb 0.000 0.000 0.000 x1
3 F 0.500 0.500 0.500 x1

=====

# 19
Computed, not measured: RbSc3S at its PBEsol-relaxed geometry at the meta-GGA SCAN level of DFT.

## Properties
N(E_F)   4.454 states/eV/f.u.
Magnetic moment   0.0 μB/f.u.
Raw formation energy   1.646 eV/atom

a = 4.934 Å, b = 4.934 Å, c = 4.934 Å
α = 90.00°, β = 90.00°, γ = 90.00°
Space group Pm-3m (No. 221)
Asymmetric unit:
1 Rb 0.000 0.000 0.000 x1
2 Sc 0.000 0.000 0.500 x3
3 S 0.500 0.500 0.500 x1

=====

# 20
Computed, not measured: RbGe2P2 at its PBEsol-relaxed geometry at the meta-GGA SCAN level of DFT.

## Properties
DFT formation energy   -0.023 eV per atom
N(E_F)   1.569 states/eV/f.u.
Magnetic moment   0.0 μB/f.u.

a = 4.628 Å, b = 4.628 Å, c = 10.755 Å
α = 90.00°, β = 90.00°, γ = 90.00°
Space group I4/mmm (No. 139)
Asymmetric unit:
1 Rb 0.000 0.000 0.000 x2
2 Ge 0.000 0.000 0.335 x4
3 P 0.000 0.500 0.250 x4

=====

Summary of E in eV/atom
-28.8577 -47.7900 -8.8405 -70.1370 -3.6929 -40.1943 -34.3973 -37.4443 -15.2150 -10.0235 -22.9944 -7.3569 -19.1070 -38.7622 -24.9462 -10.9939 -50.6038 -16.6883 -12.9695 -15.9649
(order as listed above)